(1)
DFT (PBEsol) results for an optimized crystal structure of LaZnHg4.

Values from the calculation:
Formation energy from the elements, eV/atom: -0.13
E_tot, eV/atom: -1.661
Size of the total moment, μB/f.u.: 0.00

Cell lengths 8.309, 8.309, 8.309 Å; angles 90.00, 90.00, 90.00 degrees
Space group F-43m (No. 216)
Inequivalent atoms, fractional coordinates:
1 La 0.000 0.000 0.000 x4
2 Zn 0.250 0.250 0.750 x4
3 Hg 0.125 0.125 0.375 x16



(2)
DFT (PBEsol) results for an optimized crystal structure of Ca2OsPt.

Values from the calculation:
Formation energy from the elements, eV/atom: 0.20
E_tot, eV/atom: -5.662
E above lowest polymorph, kJ per mole of atoms: 16.17
Size of the total moment, μB/f.u.: 0.62

Cell lengths 3.460, 3.460, 8.168 Å; angles 90.00, 90.00, 90.00 degrees
Space group P4mm (No. 99)
Inequivalent atoms, fractional coordinates:
1 Ca 0.000 0.000 0.000 x1
2 Ca 0.500 0.500 0.409 x1
3 Os 0.000 0.000 0.658 x1
4 Pt 0.500 0.500 0.761 x1



(3)
DFT (PBEsol) results for an optimized crystal structure of ZrSc2Ni.

Values from the calculation:
Formation energy from the elements, eV/atom: -0.23
E_tot, eV/atom: -7.340
E above lowest polymorph, kJ per mole of atoms: 0.00
Size of the total moment, μB/f.u.: 0.00

Cell lengths 3.181, 3.181, 7.461 Å; angles 90.00, 90.00, 90.00 degrees
Space group P4/mmm (No. 123)
Inequivalent atoms, fractional coordinates:
1 Zr 0.000 0.000 0.000 x1
2 Sc 0.500 0.500 0.298 x2
3 Ni 0.000 0.000 0.500 x1



(4)
DFT (PBEsol) results for an optimized crystal structure of SrNi2Mo.

Values from the calculation:
Formation energy from the elements, eV/atom: 0.31
E_tot, eV/atom: -6.171
Size of the total moment, μB/f.u.: 0.01

Cell lengths 4.1023, 4.1023, 16.5944 Å; angles 90.00, 90.00, 120.00 degrees
Space group R3m (No. 160, hexagonal axes)
Inequivalent atoms, fractional coordinates:
1 Sr 0.0000 0.0000 0.0000 x3
2 Ni 0.0000 0.0000 0.1893 x3
3 Ni 0.0000 0.0000 0.4846 x3
4 Mo 0.0000 0.0000 0.8138 x3